Computed, not measured: a relaxed LaPm2CdAu4 crystal at the PBE-GGA level of DFT.

Cell: 5.1691 5.1691 8.9742 Å, 73.26 73.26 60.00°
With the nearest neighbours (Å) after each atom.
Fractional coordinates of all 8 atoms:
La  0.0000  0.0000  0.0000  8 Au 3.04-3.15
Pm  0.7606  0.7606  0.7181  7 Au 3.04-3.28
Pm  0.2394  0.2394  0.2819  7 Au 3.04-3.28
Cd  0.5000  0.5000  0.5000  8 Au 3.21, 6 Pm 3.51
Au  0.3736  0.3736  0.8792  3 La 3.15, 1 Cd 3.21, 4 Pm 3.28-3.41
Au  0.8804  0.8804  0.3590  1 La 3.04, 4 Pm 3.04-3.05, 3 Cd 3.21
Au  0.1196  0.1196  0.6410  1 La 3.04, 4 Pm 3.04-3.05, 3 Cd 3.21
Au  0.6264  0.6264  0.1208  3 La 3.15, 1 Cd 3.21, 4 Pm 3.28-3.41

Energy of formation = -0.717 eV per atom
Volume = 24.48 Å³ per atom
SG = R-3m, No. 166


Computed, not measured: a relaxed LaPmCdAu crystal at the PBE-GGA level of DFT.

Cell: 3.8022 3.8022 7.6427 Å, 90.00 90.00 90.00°
With the nearest neighbours (Å) after each atom.
Fractional coordinates of all 4 atoms:
La  0.0000  0.0000  0.8436  4 Au 3.31, 4 Cd 3.41, 1 Pm 3.59
Pm  0.0000  0.0000  0.3736  4 Au 3.16, 4 Cd 3.32
Cd  0.5000  0.5000  0.1187  4 Pm 3.32, 4 La 3.41, 1 Au 3.62
Au  0.5000  0.5000  0.5921  4 Pm 3.16, 4 La 3.31

Energy of formation = -0.551 eV per atom
Volume = 27.62 Å³ per atom
SG = P4mm, No. 99


Computed, not measured: a relaxed LaPmCdAu crystal at the PBE-GGA level of DFT.

Cell: 5.3866 5.3866 5.3866 Å, 60.00 60.00 60.00°
With the nearest neighbours (Å) after each atom.
Fractional coordinates of all 4 atoms:
Cd  0.7500  0.7500  0.7500  4 Pm 3.30, 4 La 3.30
La  0.0000  0.0000  0.0000  4 Au 3.30, 4 Cd 3.30
Au  0.2500  0.2500  0.2500  4 La 3.30, 4 Pm 3.30
Pm  0.5000  0.5000  0.5000  4 Cd 3.30, 4 Au 3.30

Energy of formation = -0.514 eV per atom
Volume = 27.63 Å³ per atom
SG = F-43m, No. 216


Computed, not measured: a relaxed La2CdRuAu crystal at the PBE-GGA level of DFT.

Cell: 4.1682 8.2894 7.9044 Å, 110.60 90.00 90.00°
With the nearest neighbours (Å) after each atom.
Fractional coordinates of all 10 atoms:
La  0.7500  0.8840  0.6480  2 Ru 2.90, 2 Au 3.23
La  0.7500  0.7212  0.0289  3 Ru 2.87-3.07, 2 Au 3.19
La  0.2500  0.1160  0.3520  2 Ru 2.90, 2 Au 3.23
La  0.2500  0.2788  0.9711  3 Ru 2.87-3.07, 2 Au 3.19
Cd  0.2500  0.5510  0.6542  1 Ru 2.82, 2 Au 2.99, 2 Cd 3.09
Cd  0.7500  0.4490  0.3458  1 Ru 2.82, 2 Au 2.99, 2 Cd 3.09
Ru  0.2500  0.8908  0.9047  1 Cd 2.82, 2 Ru 2.82, 5 La 2.87-3.07
Ru  0.7500  0.1092  0.0953  1 Cd 2.82, 2 Ru 2.82, 5 La 2.87-3.07
Au  0.2500  0.7008  0.3254  3 Cd 2.99-3.25, 4 La 3.19-3.23
Au  0.7500  0.2992  0.6746  3 Cd 2.99-3.25, 4 La 3.19-3.23

Energy of formation = -0.494 eV per atom
Volume = 25.57 Å³ per atom
SG = P2_1/m, No. 11